# 1
Below is ScNbCu2 after structural relaxation, with properties calculated at the GGA-PBEsol level.

Calculated values
E_form (meV/atom): 41

Structure (POSCAR):
```
ScNbCu2
1.0
4.446 0.000 0.000
2.223 3.850 0.000
2.223 1.283 3.630
Sc Nb Cu
1 1 2
direct
0.000 0.000 0.000
0.500 0.500 0.500
0.250 0.250 0.250
0.750 0.750 0.750
```



# 2
Below is LiTe2PI after structural relaxation, with properties calculated at the GGA-PBEsol level.

Calculated values
E_form (uncorrected) (eV/atom): 0.552

Structure (POSCAR):
```
LiTe2PI
1.0
-0.864 1.957 -4.481
-2.519 -4.100 -1.305
-4.214 2.047 1.706
P Te I Li
1 2 1 1
direct
0.500 0.500 0.500
0.000 0.000 0.500
0.000 0.500 0.000
0.500 0.000 0.000
0.000 0.000 0.000
```



# 3
Below is MnSb2Pb after structural relaxation, with properties calculated at the GGA-PBEsol level.

Calculated values
E_form (uncorrected) (eV/atom): 0.325

Structure (POSCAR):
```
MnSb2Pb
1.0
-1.099 3.142 0.539
-3.304 0.601 0.306
-0.856 -0.138 9.603
Mn Sb Pb
1 2 1
direct
0.495 0.495 0.515
0.768 0.768 0.697
0.002 0.002 0.995
0.235 0.235 0.294
```



# 4
Below is MgSiTeI2 after structural relaxation, with properties calculated at the GGA-PBEsol level.

Calculated values
E_form (uncorrected) (eV/atom): 0.282

Structure (POSCAR):
```
MgSiTeI2
1.0
-5.128 0.817 -1.434
0.113 -4.496 -2.964
-1.718 -2.975 4.448
Mg I Te Si
1 2 1 1
direct
0.000 0.000 0.000
0.000 0.500 0.000
0.500 0.000 0.000
0.000 0.000 0.500
0.500 0.500 0.500
```



# 5
Below is BaAl9Fe2 after structural relaxation, with properties calculated at the GGA-PBEsol level.

Calculated values
E_form (meV/atom): -322

Structure (POSCAR):
```
BaAl9Fe2
1.0
3.898 0.000 0.000
0.000 7.944 0.000
0.000 -3.972 6.879
Al Fe Ba
9 2 1
direct
0.500 0.433 0.216
0.500 0.784 0.567
0.000 0.000 0.500
0.500 0.567 0.784
0.000 0.500 0.000
0.500 0.216 0.433
0.500 0.784 0.216
0.000 0.500 0.500
0.500 0.216 0.784
0.000 0.333 0.667
0.000 0.667 0.333
0.000 0.000 0.000
```



# 6
Below is Sc3Rh4 after structural relaxation, with properties calculated at the GGA-PBEsol level.

Calculated values
E_form (meV/atom): -852

Structure (POSCAR):
```
Sc3Rh4
1.0
-2.014 -3.127 -4.011
5.748 3.001 -2.738
1.394 -4.460 5.264
Rh Sc
8 6
direct
0.372 0.148 0.441
0.069 0.441 0.293
0.628 0.852 0.559
0.500 0.000 0.000
0.931 0.559 0.707
0.000 0.000 0.000
0.224 0.293 0.852
0.776 0.707 0.148
0.126 0.861 0.591
0.735 0.270 0.861
0.465 0.591 0.730
0.874 0.139 0.409
0.535 0.409 0.270
0.265 0.730 0.139
```



# 7
Below is Ni5Pt after structural relaxation, with properties calculated at the GGA-PBEsol level.

Calculated values
E_form (meV/atom): 12

Structure (POSCAR):
```
Ni5Pt
1.0
-1.592 0.808 -1.855
1.203 -1.520 -1.694
-6.447 -7.584 2.229
Ni Pt
5 1
direct
0.000 0.000 0.183
0.000 0.000 0.817
0.500 0.500 0.342
0.000 0.000 0.500
0.500 0.500 0.658
0.500 0.500 0.000
```



# 8
Below is Dy2InAg after structural relaxation, with properties calculated at the GGA-PBEsol level.

Calculated values
E_form (meV/atom): -428

Structure (POSCAR):
```
Dy2InAg
1.0
-2.881 -0.399 2.022
-0.138 -3.431 -0.873
4.423 -1.698 5.967
Dy Ag In
2 1 1
direct
0.000 0.000 0.763
0.000 0.000 0.237
0.500 0.500 0.000
0.500 0.500 0.500
```



# 9
Below is BaIn2Se after structural relaxation, with properties calculated at the GGA-PBEsol level.

Calculated values
E_form (uncorrected) (eV/atom): -0.616

Structure (POSCAR):
```
BaIn2Se
1.0
4.627 0.000 0.000
0.000 5.081 0.000
-2.313 -2.541 5.039
In Se Ba
2 1 1
direct
0.799 0.299 0.598
0.994 0.994 0.989
0.479 0.479 0.957
0.228 0.728 0.456
```



# 10
Below is Li8Ti2O7 after structural relaxation, with properties calculated at the GGA-PBEsol level.

Calculated values
E_form (uncorrected) (eV/atom): -2.168

Structure (POSCAR):
```
Li8Ti2O7
1.0
-5.055 5.497 1.154
-2.555 -5.122 -7.551
-5.316 -6.142 5.965
Ti O Li
8 28 32
direct
0.679 0.673 0.215
0.070 0.283 0.306
0.930 0.217 0.806
0.070 0.783 0.194
0.321 0.327 0.785
0.321 0.827 0.715
0.679 0.173 0.285
0.930 0.717 0.694
0.125 0.949 0.088
0.636 0.493 0.115
0.364 0.507 0.885
0.463 0.915 0.865
0.537 0.085 0.135
0.875 0.551 0.588
0.770 0.212 0.657
0.125 0.449 0.412
0.364 0.007 0.615
0.875 0.051 0.912
0.118 0.696 0.822
0.770 0.712 0.843
0.463 0.415 0.635
0.436 0.227 0.891
0.230 0.288 0.157
0.882 0.804 0.322
0.882 0.304 0.178
0.118 0.196 0.678
0.537 0.585 0.365
0.564 0.273 0.391
0.114 0.120 0.391
0.886 0.880 0.609
0.886 0.380 0.891
0.636 0.993 0.385
0.564 0.773 0.109
0.230 0.788 0.343
0.114 0.620 0.109
0.436 0.727 0.609
0.474 0.893 0.233
0.413 0.873 0.471
0.474 0.393 0.267
0.638 0.963 0.012
0.284 0.109 0.226
0.088 0.408 0.052
0.587 0.127 0.529
0.933 0.374 0.547
0.688 0.780 0.478
0.312 0.220 0.522
0.933 0.874 0.953
0.128 0.508 0.827
0.872 0.492 0.173
0.526 0.107 0.767
0.912 0.592 0.948
0.088 0.908 0.448
0.872 0.992 0.327
0.912 0.092 0.552
0.128 0.008 0.673
0.067 0.626 0.453
0.688 0.280 0.022
0.587 0.627 0.971
0.716 0.391 0.726
0.362 0.037 0.988
0.716 0.891 0.774
0.362 0.537 0.512
0.638 0.463 0.488
0.312 0.720 0.978
0.284 0.609 0.274
0.413 0.373 0.029
0.526 0.607 0.733
0.067 0.126 0.047
```



# 11
Below is Sr2NbPtCl after structural relaxation, with properties calculated at the GGA-PBEsol level.

Calculated values
E_form (uncorrected) (eV/atom): 0.173

Structure (POSCAR):
```
Sr2NbPtCl
1.0
4.674 0.000 0.000
0.000 5.928 0.000
0.000 0.000 5.928
Cl Nb Pt Sr
1 1 1 2
direct
0.500 0.500 0.500
0.000 0.000 0.000
0.500 0.000 0.000
0.000 0.500 0.000
0.000 0.000 0.500
```



# 12
Below is KTl3Ag after structural relaxation, with properties calculated at the GGA-PBEsol level.

Calculated values
E_form (meV/atom): 127

Structure (POSCAR):
```
KTl3Ag
1.0
-4.508 2.437 -1.957
-2.340 -4.908 -0.723
-2.072 0.241 5.073
Tl K Ag
3 1 1
direct
0.000 0.500 0.000
0.500 0.000 0.000
0.000 0.000 0.500
0.500 0.500 0.500
0.000 0.000 0.000
```



# 13
Below is TaRu after structural relaxation, with properties calculated at the GGA-PBEsol level.

Calculated values
E_form (meV/atom): -228

Structure (POSCAR):
```
TaRu
1.0
-2.099 3.827 0.687
-2.517 -0.531 -4.732
-3.923 -2.578 2.376
Ru Ta
4 4
direct
0.250 0.353 0.581
0.250 0.147 0.081
0.750 0.647 0.419
0.750 0.853 0.919
0.750 0.121 0.354
0.250 0.621 0.146
0.250 0.879 0.646
0.750 0.379 0.854
```



# 14
Below is TaFeSe2 after structural relaxation, with properties calculated at the GGA-PBEsol level.

Calculated values
E_form (uncorrected) (eV/atom): -0.291

Structure (POSCAR):
```
TaFeSe2
1.0
3.290 0.000 0.000
0.000 3.290 0.000
0.000 0.000 6.527
Se Fe Ta
2 1 1
direct
0.000 0.000 0.904
0.500 0.500 0.331
0.500 0.500 0.749
0.000 0.000 0.517
```



# 15
Below is Li2Mg after structural relaxation, with properties calculated at the GGA-PBEsol level.

Calculated values
E_form (meV/atom): -33

Structure (POSCAR):
```
Li2Mg
1.0
-1.730 -1.820 1.813
3.681 -0.079 3.433
-2.170 7.180 2.491
Li Mg
4 2
direct
0.326 0.000 0.653
0.450 0.500 0.900
0.994 0.000 0.987
0.662 0.000 0.324
0.115 0.500 0.229
0.787 0.500 0.574
```



# 16
Below is P3IrO9 after structural relaxation, with properties calculated at the GGA-PBEsol level.

Calculated values
E_form (uncorrected) (eV/atom): -1.775

Structure (POSCAR):
```
P3IrO9
1.0
-1.858 4.332 1.736
-6.165 -1.750 -3.077
-1.439 -4.707 9.099
O P Ir
18 6 2
direct
0.452 0.855 0.304
0.480 0.167 0.234
0.800 0.649 0.377
0.328 0.877 0.066
0.200 0.351 0.623
0.094 0.267 0.098
0.661 0.342 0.522
0.922 0.705 0.650
0.612 0.492 0.762
0.520 0.833 0.766
0.906 0.733 0.902
0.813 0.921 0.156
0.187 0.079 0.844
0.339 0.658 0.478
0.672 0.123 0.934
0.078 0.295 0.350
0.548 0.145 0.696
0.388 0.508 0.238
0.497 0.338 0.641
0.503 0.662 0.359
0.479 0.050 0.821
0.521 0.950 0.179
0.764 0.695 0.770
0.236 0.305 0.230
0.000 0.500 0.500
0.000 0.000 0.000
```



# 17
Below is Hf3TlRe after structural relaxation, with properties calculated at the GGA-PBEsol level.

Calculated values
E_form (meV/atom): 2086

Structure (POSCAR):
```
Hf3TlRe
1.0
-3.601 3.532 -0.275
-3.255 -3.144 2.244
1.398 1.777 4.517
Hf Tl Re
3 1 1
direct
0.000 0.500 0.000
0.000 0.000 0.500
0.500 0.000 0.000
0.000 0.000 0.000
0.500 0.500 0.500
```



# 18
Below is Sr2MnCd after structural relaxation, with properties calculated at the GGA-PBEsol level.

Calculated values
E_form (meV/atom): 274

Structure (POSCAR):
```
Sr2MnCd
1.0
3.911 0.000 0.000
0.000 5.480 0.000
-1.956 -2.740 5.623
Sr Mn Cd
2 1 1
direct
0.772 0.272 0.544
0.980 0.980 0.960
0.209 0.709 0.419
0.539 0.539 0.077
```



# 19
Below is MnZn3B after structural relaxation, with properties calculated at the GGA-PBEsol level.

Calculated values
E_form (meV/atom): 548

Structure (POSCAR):
```
MnZn3B
1.0
4.063 0.000 0.000
0.000 4.063 0.000
0.000 0.000 4.063
Zn Mn B
3 1 1
direct
0.000 0.000 0.500
0.500 0.000 0.000
0.000 0.500 0.000
0.500 0.500 0.500
0.000 0.000 0.000
```



# 20
Below is BaGaN2 after structural relaxation, with properties calculated at the GGA-PBEsol level.

Calculated values
E_form (uncorrected) (eV/atom): 0.072

Structure (POSCAR):
```
BaGaN2
1.0
4.196 0.000 0.000
2.098 3.634 0.000
2.098 1.211 6.142
Ga Ba N
1 1 2
direct
0.000 0.000 0.000
0.500 0.500 0.500
0.905 0.905 0.284
0.095 0.095 0.716
```



# 21
Below is SbRhF2 after structural relaxation, with properties calculated at the GGA-PBEsol level.

Calculated values
E_form (uncorrected) (eV/atom): -0.994

Structure (POSCAR):
```
SbRhF2
1.0
-0.164 3.699 0.435
-3.710 -0.201 0.307
2.640 -2.648 7.535
Rh F Sb
2 4 2
direct
0.500 0.500 0.000
0.750 0.250 0.500
0.625 0.628 0.750
0.878 0.375 0.250
0.372 0.875 0.250
0.125 0.122 0.750
0.000 0.000 0.000
0.250 0.750 0.500
```



# 22
Below is Hf3SeCl after structural relaxation, with properties calculated at the GGA-PBEsol level.

Calculated values
E_form (uncorrected) (eV/atom): 0.234

Structure (POSCAR):
```
Hf3SeCl
1.0
4.685 0.000 0.000
0.000 4.685 0.000
0.000 0.000 4.685
Hf Se Cl
3 1 1
direct
0.500 0.000 0.000
0.000 0.000 0.500
0.000 0.500 0.000
0.500 0.500 0.500
0.000 0.000 0.000
```



# 23
Below is KBa3 after structural relaxation, with properties calculated at the GGA-PBEsol level.

Calculated values
E_form (meV/atom): 86

Structure (POSCAR):
```
KBa3
1.0
-4.384 0.086 -2.302
2.222 -1.148 -4.275
-1.229 -9.737 1.976
Ba K
3 1
direct
0.500 0.500 0.000
0.000 0.000 0.240
0.000 0.000 0.760
0.500 0.500 0.500
```